Record 1
# TaTeAs2

A geometry-optimized TaTeAs2 structure (PBE, Alexandria).

The space group is I-4m2 (No. 119) and the conventional cell measures 4.251, 4.251 and 8.830 Å, with angles of 90.00, 90.00 and 90.00 degrees. The inequivalent atoms are Ta at (0.000, 0.000, 0.000), Te at (0.000, 0.500, 0.750), As at (0.000, 0.000, 0.500) and As at (0.000, 0.500, 0.250).

The total magnetization is 0.00 μB per formula unit. For the total energy, the calculation gives -5.60 eV/atom.

***

Record 2
# Si2Ge2Pt

A geometry-optimized Si2Ge2Pt structure (PBE, Alexandria).

The space group is P4/mbm (No. 127) and the conventional cell measures 6.742, 6.742 and 3.989 Å, with angles of 90.00, 90.00 and 90.00 degrees. The inequivalent atoms are Si at (0.128, 0.372, 0.000), Ge at (0.164, 0.664, 0.500) and Pt at (0.000, 0.000, 0.500).

The total magnetization is 0.00 μB per formula unit. The value obtained for the energy above the most stable polymorph in this dataset is 0.138 eV/atom. For the total energy, the calculation gives -4.90 eV/atom.

***

Record 3
# HoTmBe

A geometry-optimized HoTmBe structure (PBE, Alexandria).

The space group is I4mm (No. 107) and the conventional cell measures 3.421, 3.421 and 11.881 Å, with angles of 90.00, 90.00 and 90.00 degrees. The inequivalent atoms are Ho at (0.000, 0.000, 0.000), Tm at (0.000, 0.000, 0.272) and Be at (0.000, 0.000, 0.639).

The total magnetization is 0.00 μB per formula unit. For the total energy, the calculation gives -4.19 eV/atom.

***

Record 4
# CoNi4IrRh2

A geometry-optimized CoNi4IrRh2 structure (PBE, Alexandria).

The space group is P2/m (No. 10) and the conventional cell measures 4.509, 2.630 and 8.553 Å, with angles of 90.00, 100.55 and 90.00 degrees. The inequivalent atoms are Co at (0.000, 0.000, 0.000), Ni at (0.243, 0.500, 0.245), Ni at (0.249, 0.000, 0.754), Ir at (0.500, 0.500, 0.000), Rh at (0.000, 0.500, 0.500) and Rh at (0.500, 0.000, 0.500).

The total magnetization is 6.01 μB per formula unit. For the total energy, the calculation gives -6.67 eV/atom.

***

Record 5
# YTmAlFe

A geometry-optimized YTmAlFe structure (PBE, Alexandria).

The space group is F-43m (No. 216) and the conventional cell measures 6.995, 6.995 and 6.995 Å, with angles of 90.00, 90.00 and 90.00 degrees. The inequivalent atoms are Y at (0.000, 0.000, 0.000), Tm at (0.000, 0.000, 0.500), Al at (0.250, 0.250, 0.250) and Fe at (0.250, 0.250, 0.750).

The total magnetization is 1.32 μB per formula unit. For the total energy, the calculation gives -5.88 eV/atom.

***

Record 6
# Pr2YTm

A geometry-optimized Pr2YTm structure (PBE, Alexandria).

The space group is Pmmm (No. 47) and the conventional cell measures 3.651, 5.032 and 7.301 Å, with angles of 90.00, 90.00 and 90.00 degrees. The inequivalent atoms are Pr at (0.000, 0.000, 0.247), Y at (0.500, 0.500, 0.500) and Tm at (0.500, 0.500, 0.000).

The total magnetization is 0.00 μB per formula unit. The value obtained for the energy above the most stable polymorph in this dataset is 0.000 eV/atom. For the total energy, the calculation gives -5.11 eV/atom.

***

Record 7
# PrAlZn3Ag

A geometry-optimized PrAlZn3Ag structure (PBE, Alexandria).

The space group is Cmcm (No. 63) and the conventional cell measures 6.237, 13.105 and 5.961 Å, with angles of 90.00, 90.00 and 90.00 degrees. The inequivalent atoms are Pr at (0.000, 0.202, 0.250), Al at (0.000, 0.428, 0.250), Zn at (0.000, 0.369, 0.750), Zn at (0.198, 0.000, 0.000) and Ag at (0.000, 0.159, 0.750).

The total magnetization is 0.00 μB per formula unit. For the total energy, the calculation gives -2.60 eV/atom.

***

no.,density of states at the Fermi level (states/eV per atom)
1,0.86
2,0.36
3,1.05
4,1.52
5,1.86
6,1.51
7,0.39